## InCo2Pb (GGA-PBE)

Data for a relaxed InCo2Pb crystal.

The space group is R-3m (No. 166, hexagonal axes) and the conventional cell measures 3.1920, 3.1920 and 23.9234 Å, with angles of 90.00, 90.00 and 120.00 degrees. The inequivalent atoms are In at (0.0000, 0.0000, 0.0000), Co at (0.0000, 0.0000, 0.2513) and Pb at (0.0000, 0.0000, 0.5000).

The value obtained for the total moment is 1.75 μB/f.u. The formation energy is 526.2 meV per atom.

## SbOsO2F (GGA-PBE)

Data for a relaxed SbOsO2F crystal.

The space group is P4/mmm (No. 123) and the conventional cell measures 3.675, 3.675 and 6.956 Å, with angles of 90.00, 90.00 and 90.00 degrees. The inequivalent atoms are Sb at (0.000, 0.000, 0.000), Os at (0.500, 0.500, 0.500), O at (0.000, 0.500, 0.500) and F at (0.500, 0.500, 0.000).

The value obtained for the total moment is 0.00 μB/f.u. The calculation puts the total energy at -6.004 eV/atom.

## TlAuSe4 (GGA-PBE)

Data for a relaxed TlAuSe4 crystal.

The space group is C2/m (No. 12) and the conventional cell measures 6.963, 5.022 and 10.332 Å, with angles of 90.00, 101.99 and 90.00 degrees. The inequivalent atoms are Tl at (0.000, 0.000, 0.000), Au at (0.000, 0.500, 0.500), Se at (0.143, 0.500, 0.154) and Se at (0.218, 0.000, 0.618).

The value obtained for the total moment is 0.00 μB/f.u. The calculation puts the total energy at -3.278 eV/atom.